Below is crystalline CeTl2Bi at its relaxed geometry, with properties calculated at the PBE-GGA level.

Output
Magnetization ... 1.03 Bohr magnetons per cell
Energy relative to the elements ... -361 meV/atom
E ... -0.294 Ry/atom

a = 4.780 Å, b = 4.780 Å, c = 5.102 Å
α = 90.00°, β = 90.00°, γ = 90.00°
Fractional positions:
1 Ce 0.000 0.000 0.000
2 Tl 0.000 0.500 0.500
3 Tl 0.500 0.000 0.500
4 Bi 0.500 0.500 0.000


Below is crystalline Ce2TlBi5 at its relaxed geometry, with properties calculated at the PBE-GGA level.

Output
Magnetization ... 1.27 Bohr magnetons per cell
Energy relative to the elements ... -446 meV/atom
E ... -0.342 Ry/atom

a = 6.916 Å, b = 6.916 Å, c = 6.916 Å
α = 117.76°, β = 117.76°, γ = 93.93°
Fractional positions:
1 Ce 0.000 0.500 0.500
2 Ce 0.500 0.000 0.500
3 Tl 0.000 0.000 0.000
4 Bi 0.000 0.000 0.500
5 Bi 0.000 0.500 0.000
6 Bi 0.500 0.000 0.000
7 Bi 0.500 0.500 0.000
8 Bi 0.500 0.500 0.500


Below is crystalline Ce8Tl2Bi at its relaxed geometry, with properties calculated at the PBE-GGA level.

Output
Magnetization ... 4.55 Bohr magnetons per cell
Energy relative to the elements ... -118 meV/atom
E ... -0.383 Ry/atom

a = 8.313 Å, b = 8.313 Å, c = 5.831 Å
α = 101.38°, β = 101.38°, γ = 117.50°
Fractional positions:
1 Ce 0.082 0.274 0.592
2 Ce 0.233 0.767 0.000
3 Ce 0.274 0.082 0.592
4 Ce 0.409 0.409 0.145
5 Ce 0.591 0.591 0.855
6 Ce 0.726 0.918 0.408
7 Ce 0.767 0.233 0.000
8 Ce 0.918 0.726 0.408
9 Tl 0.312 0.688 0.500
10 Tl 0.688 0.312 0.500
11 Bi 0.000 0.000 0.000


Below is crystalline Ce4TlBi3 at its relaxed geometry, with properties calculated at the PBE-GGA level.

Output
Magnetization ... 6.02 Bohr magnetons per cell
Energy relative to the elements ... -318 meV/atom
E ... -0.370 Ry/atom

a = 7.979 Å, b = 7.979 Å, c = 6.191 Å
α = 107.28°, β = 107.28°, γ = 43.15°
Fractional positions:
1 Ce 0.102 0.102 0.059
2 Ce 0.255 0.255 0.700
3 Ce 0.745 0.745 0.300
4 Ce 0.898 0.898 0.941
5 Tl 0.000 0.000 0.500
6 Bi 0.341 0.341 0.271
7 Bi 0.500 0.500 0.000
8 Bi 0.659 0.659 0.729


Below is crystalline Ce3TlBi at its relaxed geometry, with properties calculated at the PBE-GGA level.

Output
Magnetization ... 5.63 Bohr magnetons per cell
Energy relative to the elements ... -276 meV/atom
E ... -0.374 Ry/atom

a = 6.030 Å, b = 5.594 Å, c = 8.947 Å
α = 90.00°, β = 108.85°, γ = 90.00°
Fractional positions:
1 Ce 0.034 0.250 0.294
2 Ce 0.127 0.750 0.031
3 Ce 0.250 0.250 0.721
4 Ce 0.750 0.750 0.279
5 Ce 0.873 0.250 0.969
6 Ce 0.966 0.750 0.706
7 Tl 0.327 0.750 0.460
8 Tl 0.673 0.250 0.540
9 Bi 0.450 0.250 0.127
10 Bi 0.550 0.750 0.873


Below is crystalline Ce6TlBi at its relaxed geometry, with properties calculated at the PBE-GGA level.

Output
Magnetization ... 3.73 Bohr magnetons per cell
Relative energy among the computed polymorphs ... 7.2 kJ per mole of atoms
Energy relative to the elements ... -190 meV/atom
E ... -0.398 Ry/atom

a = 6.012 Å, b = 6.032 Å, c = 6.304 Å
α = 86.38°, β = 86.92°, γ = 79.69°
Fractional positions:
1 Ce 0.046 0.452 0.251
2 Ce 0.211 0.050 0.485
3 Ce 0.449 0.289 0.014
4 Ce 0.551 0.711 0.986
5 Ce 0.789 0.950 0.515
6 Ce 0.954 0.548 0.749
7 Tl 0.500 0.500 0.500
8 Bi 0.000 0.000 0.000


Below is crystalline Ce4TlBi5 at its relaxed geometry, with properties calculated at the PBE-GGA level.

Output
Magnetization ... 3.41 Bohr magnetons per cell
Relative energy among the computed polymorphs ... 0.0 kJ per mole of atoms
Energy relative to the elements ... -576 meV/atom
E ... -0.377 Ry/atom

a = 8.816 Å, b = 8.816 Å, c = 8.816 Å
α = 150.38°, β = 99.35°, γ = 88.18°
Fractional positions:
1 Ce 0.208 0.500 0.708
2 Ce 0.246 0.246 0.000
3 Ce 0.754 0.754 0.000
4 Ce 0.792 0.500 0.292
5 Tl 0.500 0.500 0.000
6 Bi 0.000 0.000 0.000
7 Bi 0.162 0.838 0.323
8 Bi 0.485 0.162 0.323
9 Bi 0.515 0.838 0.677
10 Bi 0.838 0.162 0.677


Below is crystalline Ce2TlBi3 at its relaxed geometry, with properties calculated at the PBE-GGA level.

Output
Magnetization ... 0.78 Bohr magnetons per cell
Energy relative to the elements ... -429 meV/atom
E ... -0.349 Ry/atom

a = 8.224 Å, b = 8.224 Å, c = 8.224 Å
α = 147.08°, β = 134.60°, γ = 57.21°
Fractional positions:
1 Ce 0.164 0.164 0.000
2 Ce 0.836 0.836 0.000
3 Tl 0.500 0.500 0.000
4 Bi 0.000 0.500 0.500
5 Bi 0.316 0.816 0.500
6 Bi 0.684 0.184 0.500